VASP calculation (PBE-GGA) on a relaxed structure of Cs4AgBr5.

extended XYZ file:
```
10
Lattice="-1.074 -3.465 -6.391 7.078 -0.987 -4.879 0.905 -8.601 0.286" Properties=species:S:1:pos:R:3 pbc="T T T"
Cs 3.048 -8.644 -4.300
Cs 5.319 -8.797 -8.824
Cs 1.584 -4.276 -2.197
Cs 3.855 -4.428 -6.721
Ag -0.068 -0.220 -0.405
Br 2.205 -10.617 -7.284
Br 6.167 -7.349 -5.496
Br 0.743 -5.699 -5.480
Br 4.706 -2.432 -3.692
Br -0.470 -1.517 -2.798
```

Properties
Its volume is 451.0 Å³/cell. The calculation puts the uncorrected formation energy at -1.448 eV/atom. The total magnetization comes out at 0.00 μB/f.u. The raw total energy comes out at -29.10 eV per formula unit.